The following is a DFT calculation (PBE) of a relaxed structure of PRuBr.

The total energy comes out at -5.444 eV/atom. The density of states at the Fermi level comes out at 1.79 states/eV per cell.

The structure belongs to space group Imm2 (No. 44); the cell edges are 2.8890, 3.4280 and 12.1029 Å and the angles 90.00°, 90.00° and 90.00°. Symmetry generates all atoms from P at (0.0000, 0.0000, 0.0000), Ru at (0.0000, 0.0000, 0.5617) and Br at (0.0000, 0.0000, 0.7683).

***

The following is a DFT calculation (PBE) of a relaxed structure of BaGdZnGa.

The formation enthalpy at 0 K is -0.224 eV/atom. The density of states at the Fermi level comes out at 19.54 states/eV per cell.

The structure belongs to space group F-43m (No. 216); the cell edges are 7.7026, 7.7026 and 7.7026 Å and the angles 90.00°, 90.00° and 90.00°. Symmetry generates all atoms from Ba at (0.0000, 0.0000, 0.0000), Gd at (0.0000, 0.0000, 0.5000), Zn at (0.2500, 0.2500, 0.2500) and Ga at (0.2500, 0.2500, 0.7500).

***

The following is a DFT calculation (PBE) of a relaxed structure of NaAc2CuS4.

The total energy comes out at -5.339 eV/atom.

The structure belongs to space group Cmcm (No. 63); the cell edges are 4.2374, 14.1653 and 14.5485 Å and the angles 90.00°, 90.00° and 90.00°. Symmetry generates all atoms from Na at (0.0000, 0.1086, 0.2500), Ac at (0.0000, 0.3653, 0.0643), Cu at (0.0000, 0.1634, 0.7500), S at (0.0000, 0.0000, 0.0000), S at (0.0000, 0.2669, 0.6226) and S at (0.0000, 0.4355, 0.2500).

***

The following is a DFT calculation (PBE) of a relaxed structure of Rb3La3NbS8.

The total energy comes out at -5.705 eV/atom. The density of states at the Fermi level comes out at 17.71 states/eV per cell.

The structure belongs to space group R-3m (No. 166, hexagonal axes); the cell edges are 8.3075, 8.3075 and 23.4779 Å and the angles 90.00°, 90.00° and 120.00°. Symmetry generates all atoms from Rb at (0.0000, 0.5000, 0.0000), La at (0.0000, 0.5000, 0.5000), Nb at (0.0000, 0.0000, 0.5000), S at (0.0000, 0.0000, 0.2338) and S at (0.0356, 0.5178, 0.2273).

***

The following is a DFT calculation (PBE) of a relaxed structure of Be2NiSb.

The total energy comes out at -4.166 eV/atom. The density of states at the Fermi level comes out at 5.13 states/eV per cell.

The structure belongs to space group R-3m (No. 166, hexagonal axes); the cell edges are 3.8189, 3.8189 and 13.0639 Å and the angles 90.00°, 90.00° and 120.00°. Symmetry generates all atoms from Be at (0.0000, 0.0000, 0.1961), Ni at (0.0000, 0.0000, 0.5000) and Sb at (0.0000, 0.0000, 0.0000).

***

The following is a DFT calculation (PBE) of a relaxed structure of NdTm3.

The formation enthalpy at 0 K is 0.028 eV/atom. The density of states at the Fermi level comes out at 5.87 states/eV per cell.

The structure belongs to space group Pm-3m (No. 221); the cell edges are 4.9999, 4.9999 and 4.9999 Å and the angles 90.00°, 90.00° and 90.00°. Symmetry generates all atoms from Nd at (0.0000, 0.0000, 0.0000) and Tm at (0.0000, 0.5000, 0.5000).

***

The following is a DFT calculation (PBE) of a relaxed structure of Ba2CuSnH6.

The total energy comes out at -3.383 eV/atom. The density of states at the Fermi level comes out at 3.58 states/eV per cell.

The structure belongs to space group C2/m (No. 12); the cell edges are 7.8805, 7.9338 and 6.0952 Å and the angles 90.00°, 129.84° and 90.00°. Symmetry generates all atoms from Ba at (0.0000, 0.2497, 0.0000), Cu at (0.0000, 0.0000, 0.5000), Sn at (0.0000, 0.5000, 0.5000), H at (0.0000, 0.2220, 0.5000), H at (0.1715, 0.0000, 0.8468) and H at (0.2217, 0.0000, 0.4994).

***

The following is a DFT calculation (PBE) of a relaxed structure of LiOF3.

The total energy comes out at -3.636 eV/atom.

The structure belongs to space group C2/c (No. 15); the cell edges are 19.3104, 5.2158 and 5.3972 Å and the angles 90.00°, 91.06° and 90.00°. Symmetry generates all atoms from Li at (0.0000, 0.0001, 0.2500), Li at (0.0000, 0.4994, 0.2500), O at (0.2332, 0.2024, 0.5830), F at (0.0262, 0.2471, 0.5022), F at (0.1114, 0.4313, 0.0224) and F at (0.1525, 0.1909, 0.0377).

***

The following is a DFT calculation (PBE) of a relaxed structure of SiAsN3.

The total energy comes out at -6.192 eV/atom. The density of states at the Fermi level comes out at 2.02 states/eV per cell.

The structure belongs to space group Pm-3m (No. 221); the cell edges are 3.6289, 3.6289 and 3.6289 Å and the angles 90.00°, 90.00° and 90.00°. Symmetry generates all atoms from Si at (0.0000, 0.0000, 0.0000), As at (0.5000, 0.5000, 0.5000) and N at (0.0000, 0.0000, 0.5000).

***

The following is a DFT calculation (PBE) of a relaxed structure of Pa2GaCo4P3.

The formation enthalpy at 0 K is -0.901 eV/atom. The density of states at the Fermi level comes out at 4.61 states/eV per cell.

The structure belongs to space group P-4m2 (No. 115); the cell edges are 3.8934, 3.8934 and 9.4631 Å and the angles 90.00°, 90.00° and 90.00°. Symmetry generates all atoms from Pa at (0.0000, 0.5000, 0.2447), Ga at (0.0000, 0.0000, 0.5000), Co at (0.0000, 0.0000, 0.0000), Co at (0.0000, 0.5000, 0.6393), Co at (0.5000, 0.5000, 0.0000), P at (0.0000, 0.5000, 0.8719) and P at (0.5000, 0.5000, 0.5000).

***

The following is a DFT calculation (PBE) of a relaxed structure of Ta2FeAu.

The formation enthalpy at 0 K is 0.167 eV/atom. The density of states at the Fermi level comes out at 16.75 states/eV per cell.

The structure belongs to space group Fm-3m (No. 225); the cell edges are 6.4239, 6.4239 and 6.4239 Å and the angles 90.00°, 90.00° and 90.00°. Symmetry generates all atoms from Ta at (0.2500, 0.2500, 0.2500), Fe at (0.0000, 0.0000, 0.0000) and Au at (0.0000, 0.0000, 0.5000).

***

The following is a DFT calculation (PBE) of a relaxed structure of PmDy14Y.

The formation enthalpy at 0 K is 0.003 eV/atom. The density of states at the Fermi level comes out at 37.94 states/eV per cell.

The structure belongs to space group Amm2 (No. 38); the cell edges are 11.4776, 7.1331 and 12.3548 Å and the angles 90.00°, 90.00° and 90.00°. Symmetry generates all atoms from Pm at (0.0000, 0.0000, 0.0000), Dy at (0.0000, 0.2501, 0.2502), Dy at (0.2504, 0.0000, 0.6674), Dy at (0.2510, 0.0000, 0.1672), Dy at (0.2517, 0.2501, 0.4169), Dy at (0.5000, 0.0000, 0.3338), Dy at (0.5000, 0.0000, 0.8339), Dy at (0.5000, 0.2501, 0.0841) and Y at (0.0000, 0.0000, 0.5001).